TePdSeBr2 (GGA-PBE, relaxed); energy relative to the elements, uncorrected = 210 meV/atom; crystal system = tetragonal; theoretical density = 6.05 Mg/m³
1.0
5.0320 0.0000 0.0000
0.0000 5.0320 0.0000
0.0000 0.0000 5.1230
Br Pd Te Se
2 1 1 1
Cartesian
2.5160 0.0000 0.0000
0.0000 2.5160 0.0000
0.0000 0.0000 0.0000
2.5160 2.5160 2.5615
0.0000 0.0000 2.5615

Dy2LuIr (GGA-PBE, relaxed); crystal system = trigonal; total DFT energy (no corrections) = -5.9228 eV per atom; theoretical density = 9.84 Mg/m³
1.0
3.8099 0.0000 0.0000
1.9050 3.2995 0.0000
1.9050 1.0998 9.2934
Ir Dy Lu
1 2 1
Cartesian
0.0000 0.0000 0.0000
5.7149 3.2995 7.6411
1.9050 1.0998 1.6523
3.8099 2.1997 4.6467

Mn2TcAu (GGA-PBE, relaxed); crystal system = tetragonal; total DFT energy (no corrections) = -7.8977 eV per atom; theoretical density = 11.21 Mg/m³
1.0
-0.9140 2.9756 -0.3111
-1.8068 -0.2898 2.5373
4.6711 1.8042 3.5324
Mn Au Tc
2 1 1
Cartesian
2.2568 0.8717 1.7066
0.0788 0.0304 0.0596
2.1429 2.6960 3.7624
-0.1926 1.7939 1.9962